1.
BaEr2N PBE optimized geometry; E_form (uncorrected) = -0.62 eV per atom; SG = R-3m
1.0
1.752 1.011 9.935
-1.752 1.011 9.935
0.000 -2.023 9.935
Ba Er N
1 2 1
Direct
0.000 0.000 0.000 Ba
0.123 0.123 0.123 Er
0.877 0.877 0.877 Er
0.500 0.500 0.500 N

---

2.
Ba3Er2NpN6 PBE optimized geometry; E_form (uncorrected) = -1.03 eV per atom; SG = C2/m
1.0
3.084 -5.316 0.000
3.084 5.316 0.000
-2.040 0.000 6.395
Ba Er Np N
3 2 1 6
Direct
0.000 0.000 0.000 Ba
0.328 0.672 0.000 Ba
0.672 0.328 0.000 Ba
0.166 0.834 0.500 Er
0.834 0.166 0.500 Er
0.500 0.500 0.500 Np
0.138 0.439 0.320 N
0.257 0.257 0.691 N
0.439 0.138 0.320 N
0.561 0.862 0.680 N
0.743 0.743 0.309 N
0.862 0.561 0.680 N

---

3.
Ba2ErOs2N6 PBE optimized geometry; E_form (uncorrected) = -0.45 eV per atom; SG = R-3m
1.0
3.120 1.801 6.144
-3.120 1.801 6.144
0.000 -3.602 6.144
Ba Er Os N
2 1 2 6
Direct
0.221 0.221 0.221 Ba
0.779 0.779 0.779 Ba
0.000 0.000 0.000 Er
0.409 0.409 0.409 Os
0.591 0.591 0.591 Os
0.247 0.247 0.742 N
0.247 0.742 0.247 N
0.258 0.753 0.753 N
0.742 0.247 0.247 N
0.753 0.258 0.753 N
0.753 0.753 0.258 N

---

4.
Ba2ErOsN4 PBE optimized geometry; E_form (uncorrected) = -0.22 eV per atom; SG = Fddd
1.0
0.000 6.141 10.542
2.928 0.000 10.542
2.928 6.141 0.000
Ba Er Os N
4 2 2 8
Direct
0.061 0.061 0.689 Ba
0.311 0.311 0.939 Ba
0.689 0.689 0.061 Ba
0.939 0.939 0.311 Ba
0.125 0.125 0.125 Er
0.875 0.875 0.875 Er
0.375 0.375 0.375 Os
0.625 0.625 0.625 Os
0.029 0.650 0.522 N
0.299 0.522 0.650 N
0.350 0.971 0.701 N
0.478 0.701 0.971 N
0.522 0.299 0.029 N
0.650 0.029 0.299 N
0.701 0.478 0.350 N
0.971 0.350 0.478 N

---

5.
Ba2ErP2N6 PBE optimized geometry; E_form (uncorrected) = -0.87 eV per atom; SG = R-3m
1.0
2.933 1.693 6.095
-2.933 1.693 6.095
0.000 -3.387 6.095
Ba Er P N
2 1 2 6
Direct
0.214 0.214 0.214 Ba
0.786 0.786 0.786 Ba
0.000 0.000 0.000 Er
0.414 0.414 0.414 P
0.586 0.586 0.586 P
0.259 0.259 0.725 N
0.259 0.725 0.259 N
0.275 0.741 0.741 N
0.725 0.259 0.259 N
0.741 0.275 0.741 N
0.741 0.741 0.275 N

---

6.
Ba4ErPa3N8 PBE optimized geometry; E_form (uncorrected) = -1.27 eV per atom; SG = R-3m
1.0
3.625 2.093 6.459
-3.625 2.093 6.459
0.000 -4.186 6.459
Ba Er Pa N
4 1 3 8
Direct
0.000 0.000 0.000 Ba
0.000 0.500 0.500 Ba
0.500 0.000 0.500 Ba
0.500 0.500 0.000 Ba
0.500 0.500 0.500 Er
0.000 0.000 0.500 Pa
0.000 0.500 0.000 Pa
0.500 0.000 0.000 Pa
0.210 0.732 0.732 N
0.225 0.225 0.225 N
0.268 0.268 0.790 N
0.268 0.790 0.268 N
0.732 0.210 0.732 N
0.732 0.732 0.210 N
0.775 0.775 0.775 N
0.790 0.268 0.268 N

---

7.
Ba2ErPaN4 PBE optimized geometry; E_form (uncorrected) = -1.18 eV per atom; SG = P2/m
1.0
6.224 0.000 0.000
0.000 3.678 0.000
-2.090 0.000 6.396
Ba Er Pa N
2 1 1 4
Direct
0.000 0.000 0.000 Ba
0.500 0.500 0.000 Ba
0.000 0.500 0.500 Er
0.500 0.000 0.500 Pa
0.249 0.000 0.688 N
0.280 0.500 0.313 N
0.720 0.500 0.687 N
0.751 0.000 0.312 N

---

8.
Ba3ErPa2N6 PBE optimized geometry; E_form (uncorrected) = -1.26 eV per atom; SG = C2/m
1.0
3.139 -5.433 0.000
3.139 5.433 0.000
-2.092 0.000 6.445
Ba Er Pa N
3 1 2 6
Direct
0.000 0.000 0.000 Ba
0.338 0.662 0.000 Ba
0.662 0.338 0.000 Ba
0.500 0.500 0.500 Er
0.167 0.833 0.500 Pa
0.833 0.167 0.500 Pa
0.091 0.440 0.319 N
0.211 0.211 0.677 N
0.440 0.091 0.319 N
0.560 0.909 0.681 N
0.789 0.789 0.323 N
0.909 0.560 0.681 N

---

- The lowest E_form (uncorrected) belongs to which entry?
  Ba4ErPa3N8